# TbHfGa6, relaxed, DFT GGA-PBE
# * symmetry: P4/mmm (123)
# * formation energy from the elements: -3.64 eV/f.u.
data_TbHfGa6
_chemical_formula_sum 'Tb1 Hf1 Ga6'
_cell_length_a 4.2097
_cell_length_b 4.2097
_cell_length_c 8.3457
_cell_angle_alpha 90.00
_cell_angle_beta 90.00
_cell_angle_gamma 90.00
_space_group_name_H-M_alt 'P 1'
_space_group_IT_number 1
_space_group_name_Hall 'P 1'
loop_
_atom_site_label
_atom_site_type_symbol
_atom_site_fract_x
_atom_site_fract_y
_atom_site_fract_z
_atom_site_occupancy
Tb1 Tb 0.0000 0.0000 0.0000 1
Hf1 Hf 0.0000 0.0000 0.5000 1
Ga1 Ga 0.0000 0.5000 0.2593 1
Ga2 Ga 0.0000 0.5000 0.7407 1
Ga3 Ga 0.5000 0.0000 0.2593 1
Ga4 Ga 0.5000 0.0000 0.7407 1
Ga5 Ga 0.5000 0.5000 0.0000 1
Ga6 Ga 0.5000 0.5000 0.5000 1